Entry from Alexandria via LeMat-Bulk: a relaxed Hg2Pd3Se2 crystal (PBE).

Properties
formation energy (no corrections): -0.1462 eV per atom
total magnetic moment: 0.000 μB per atom

a b c (Å): 4.3062 9.0864 6.8629
angles (deg): 34.08 71.72 76.29
With the nearest neighbours (Å) after each atom.
Sites, in units of the cell vectors:
Hg  0.5792  0.3078  0.5338  5 Pd 2.78-2.97, 1 Hg 3.04
Hg  0.4208  0.6922  0.4662  5 Pd 2.78-2.97, 1 Hg 3.04
Pd  0.0000  0.0000  0.0000  2 Se 2.49, 4 Hg 2.78
Pd  0.7651  0.7042  0.7657  3 Se 2.56-2.61
Pd  0.2349  0.2958  0.2343  3 Se 2.56-2.61
Se  0.8350  0.1942  0.1357  4 Pd 2.49-2.61
Se  0.1650  0.8058  0.8643  4 Pd 2.49-2.61